# 1
5
Lattice="5.2574 0.0000 0.0000 0.0000 5.2574 0.0000 0.0000 0.0000 5.0876" Properties=species:S:1:pos:R:3 comment="Li2TcHI | the Alexandria database | PBE | optimized geometry" sg="P4/mmm, No. 123" crystal_system=tetragonal dos_at_fermi_per_ev_atom=0.398 dft_energy_ev_per_cell=-14.0 pbc="T T T"
Li 0.0000 2.6287 0.0000
Li 2.6287 0.0000 0.0000
Tc 0.0000 0.0000 2.5438
H 2.6287 2.6287 2.5438
I 0.0000 0.0000 0.0000



# 2
5
Lattice="6.4413 -2.4654 0.0000 6.4413 2.4654 0.0000 -0.1666 0.0000 5.0130" Properties=species:S:1:pos:R:3 comment="LiTe2HI | the Alexandria database | PBE | optimized geometry" sg="Cm, No. 8" crystal_system=monoclinic polymorph_energy_ev_per_fu=0.253 dos_at_fermi_per_ev_atom=0.130 pbc="T T T"
Li 0.0000 0.0000 0.0000
Te 3.4738 0.0000 1.8407
Te 11.2864 0.0000 2.3784
H 4.0910 0.0000 0.2695
I 7.3555 0.0000 4.5221



# 3
5
Lattice="4.4083 0.0000 0.0000 0.0000 4.3742 0.0000 -0.2364 0.0000 8.0605" Properties=species:S:1:pos:R:3 comment="LiTe2HI | the Alexandria database | PBE | optimized geometry" sg="Pm, No. 6" crystal_system=monoclinic polymorph_energy_ev_per_fu=0.000 dos_at_fermi_per_ev_atom=0.179 pbc="T T T"
Li 0.0000 0.0000 0.0000
Te 0.2325 0.0000 2.9560
Te 2.4370 2.1871 3.0401
H 2.4315 2.1871 4.7575
I 2.4747 2.1871 7.4255



# 4
5
Lattice="9.1665 -1.5563 0.0000 9.1665 1.5563 0.0000 -2.6467 0.0000 6.5037" Properties=species:S:1:pos:R:3 comment="LiTe2HI | the Alexandria database | PBE | optimized geometry" sg="Cm, No. 8" crystal_system=monoclinic polymorph_energy_ev_per_fu=0.817 dos_at_fermi_per_ev_atom=0.317 pbc="T T T"
Li 0.0000 0.0000 0.0000
Te 8.9729 0.0000 5.7604
Te 10.4900 0.0000 2.2042
H 9.4368 0.0000 3.8494
I 4.2763 0.0000 5.6803



# 5
5
Lattice="3.7170 0.0000 0.0000 -1.8483 4.3188 0.0000 -0.0395 -0.4648 8.7559" Properties=species:S:1:pos:R:3 comment="LiTe2HI | the Alexandria database | PBE | optimized geometry" sg="P1, No. 1" crystal_system=triclinic polymorph_energy_ev_per_fu=0.332 dos_at_fermi_per_ev_atom=0.414 pbc="T T T"
Li 0.0000 0.0000 0.0000
Te 0.0121 2.7519 1.7694
Te 0.0030 3.7729 4.3202
H 1.8344 1.0548 3.7620
I 1.8212 1.2401 7.4269



# 6
5
Lattice="4.3420 0.0000 0.0000 0.0000 4.3420 0.0000 0.0000 0.0000 8.6013" Properties=species:S:1:pos:R:3 comment="LiTe2HI | the Alexandria database | PBE | optimized geometry" sg="P4/mmm, No. 123" crystal_system=tetragonal polymorph_energy_ev_per_fu=1.238 dos_at_fermi_per_ev_atom=0.343 pbc="T T T"
Li 0.0000 0.0000 0.0000
Te 0.0000 2.1710 4.3006
Te 2.1710 0.0000 4.3006
H 2.1710 2.1710 4.3006
I 2.1710 2.1710 0.0000



# 7
5
Lattice="5.5943 0.0000 0.0000 0.0000 5.5943 0.0000 0.0000 0.0000 5.1023" Properties=species:S:1:pos:R:3 comment="LiTeHI2 | the Alexandria database | PBE | optimized geometry" sg="P4/mmm, No. 123" crystal_system=tetragonal polymorph_energy_ev_per_fu=2.175 dos_at_fermi_per_ev_atom=1.088 pbc="T T T"
Li 0.0000 0.0000 0.0000
Te 0.0000 0.0000 2.5511
H 2.7971 2.7971 2.5511
I 0.0000 2.7971 0.0000
I 2.7971 0.0000 0.0000



# 8
5
Lattice="3.9696 0.0000 0.0000 1.9010 4.3247 0.0000 1.8829 0.0358 9.0615" Properties=species:S:1:pos:R:3 comment="LiTe2HI | the Alexandria database | PBE | optimized geometry" sg="P1, No. 1" crystal_system=triclinic polymorph_energy_ev_per_fu=0.328 dos_at_fermi_per_ev_atom=0.201 pbc="T T T"
Li 0.0000 0.0000 0.0000
Te 4.0061 0.3676 4.8293
Te 4.0490 1.5456 2.4145
H 5.6307 3.1335 4.2042
I 5.7764 2.7486 8.0844